## RbHPt3 (GGA-PBE)

Data for crystalline RbHPt3 at its relaxed geometry.

a = 4.3000 Å, b = 4.3000 Å, c = 4.3000 Å
α = 90.00°, β = 90.00°, γ = 90.00°
Last column: nearest neighbours and their distance in Å.
Space group Pm-3m (No. 221)
Asymmetric unit:
Rb 0.0000 0.0000 0.0000 (multiplicity 1)  12 Pt 3.04
H 0.5000 0.5000 0.5000 (multiplicity 1)  6 Pt 2.15
Pt 0.0000 0.5000 0.5000 (multiplicity 3)  2 H 2.15

**Energy relative to the lowest polymorph listed for this composition**: 0.000 eV per atom



## PuPaAlSn (GGA-PBE)

Data for crystalline PuPaAlSn at its relaxed geometry.

a = 5.5848 Å, b = 3.1136 Å, c = 10.9705 Å
α = 90.00°, β = 90.00°, γ = 90.00°
Last column: nearest neighbours and their distance in Å.
Space group Amm2 (No. 38)
Asymmetric unit:
Pu 0.0000 0.0000 0.0000 (multiplicity 2)  1 Pa 2.75
Pa 0.0000 0.0000 0.2510 (multiplicity 2)  1 Pu 2.75
Al 0.5000 0.0000 0.1313 (multiplicity 2)  3 Sn 2.94-2.99, 2 Pa 3.09, 2 Al 3.11, 2 Pu 3.14
Sn 0.5000 0.0000 0.3989 (multiplicity 2)  3 Al 2.94-2.99, 2 Sn 3.11, 2 Pa 3.23

**Calculated total energy**: -7.823 eV/atom



## Pu2InSi (GGA-PBE)

Data for crystalline Pu2InSi at its relaxed geometry.

a = 4.5260 Å, b = 4.5260 Å, c = 4.4805 Å
α = 90.00°, β = 90.00°, γ = 90.00°
Last column: nearest neighbours and their distance in Å.
Space group P4/mmm (No. 123)
Asymmetric unit:
Pu 0.0000 0.5000 0.0000 (multiplicity 2)  4 Si 3.18, 4 In 3.18, 4 Pu 3.20
In 0.0000 0.0000 0.5000 (multiplicity 1)  8 Pu 3.18, 4 Si 3.20
Si 0.5000 0.5000 0.5000 (multiplicity 1)  8 Pu 3.18, 4 In 3.20

**Formation energy without anion corrections**: -75.8 kJ/mol of formula units



## Ca2AcTbHg4 (GGA-PBE)

Data for crystalline Ca2AcTbHg4 at its relaxed geometry.

a = 5.4160 Å, b = 5.4160 Å, c = 26.8363 Å
α = 90.00°, β = 90.00°, γ = 120.00°
Last column: nearest neighbours and their distance in Å.
Space group R-3m (No. 166, hexagonal axes)
Asymmetric unit:
Ca 0.0000 0.0000 0.2474 (multiplicity 6)  7 Hg 3.19-3.33
Ac 0.0000 0.0000 0.0000 (multiplicity 3)  8 Hg 3.38-3.45
Tb 0.0000 0.0000 0.5000 (multiplicity 3)  8 Hg 3.19-3.29
Hg 0.0000 0.0000 0.1287 (multiplicity 6)  4 Ca 3.19-3.33, 3 Tb 3.29, 1 Ac 3.45
Hg 0.0000 0.0000 0.3812 (multiplicity 6)  1 Tb 3.19, 3 Ca 3.29, 3 Ac 3.38

**Calculated total energy**: -2.272 eV/atom



## Cd2Ga2Sn (GGA-PBE)

Data for crystalline Cd2Ga2Sn at its relaxed geometry.

a = 8.2033 Å, b = 8.2033 Å, c = 3.3880 Å
α = 90.00°, β = 90.00°, γ = 90.00°
Last column: nearest neighbours and their distance in Å.
Space group P4/mbm (No. 127)
Asymmetric unit:
Cd 0.1794 0.3206 0.0000 (multiplicity 4)  6 Ga 2.88-3.02
Ga 0.1198 0.6198 0.5000 (multiplicity 4)  1 Ga 2.78, 6 Cd 2.88-3.02
Sn 0.0000 0.0000 0.5000 (multiplicity 2)  4 Ga 3.27, 2 Sn 3.39, 8 Cd 3.46

**Energy relative to the lowest polymorph listed for this composition**: 0.039 eV per atom



## GdCuPdRh (GGA-PBE)

Data for crystalline GdCuPdRh at its relaxed geometry.

a = 6.5157 Å, b = 6.5157 Å, c = 6.5157 Å
α = 90.00°, β = 90.00°, γ = 90.00°
Last column: nearest neighbours and their distance in Å.
Space group F-43m (No. 216)
Asymmetric unit:
Gd 0.0000 0.0000 0.0000 (multiplicity 4)  4 Rh 2.82, 4 Pd 2.82
Cu 0.0000 0.0000 0.5000 (multiplicity 4)  4 Pd 2.82, 4 Rh 2.82
Pd 0.2500 0.2500 0.7500 (multiplicity 4)  4 Gd 2.82, 4 Cu 2.82
Rh 0.2500 0.2500 0.2500 (multiplicity 4)  4 Cu 2.82, 4 Gd 2.82

**Calculated total energy**: -8.147 eV/atom



## Tb3DyY (GGA-PBE)

Data for crystalline Tb3DyY at its relaxed geometry.

a = 6.3045 Å, b = 5.6509 Å, c = 9.6254 Å
α = 90.00°, β = 109.08°, γ = 90.00°
Last column: nearest neighbours and their distance in Å.
Space group P2_1/m (No. 11)
Asymmetric unit:
Tb 0.1329 0.2500 0.1000 (multiplicity 2)  4 Dy 3.52-3.64, 5 Tb 3.52-3.65, 3 Y 3.53-3.64
Tb 0.2705 0.7500 0.7010 (multiplicity 2)  3 Dy 3.52-3.62, 6 Tb 3.52-3.67, 3 Y 3.53-3.64
Tb 0.3338 0.2500 0.5000 (multiplicity 2)  7 Tb 3.52-3.67, 4 Y 3.52-3.65, 1 Dy 3.65
Dy 0.4646 0.7500 0.0988 (multiplicity 2)  2 Dy 3.51, 8 Tb 3.52-3.65, 2 Y 3.65
Y 0.0650 0.7500 0.3004 (multiplicity 2)  10 Tb 3.52-3.65, 2 Dy 3.65

**Energy relative to the lowest polymorph listed for this composition**: 0.000 eV per atom



## BaNp2NiS4 (GGA-PBE)

Data for crystalline BaNp2NiS4 at its relaxed geometry.

a = 3.9847 Å, b = 13.3912 Å, c = 13.4456 Å
α = 90.00°, β = 90.00°, γ = 90.00°
Last column: nearest neighbours and their distance in Å.
Space group Cmcm (No. 63)
Asymmetric unit:
Ba 0.0000 0.1037 0.2500 (multiplicity 4)  6 S 3.11-3.23
Np 0.0000 0.3664 0.0595 (multiplicity 8)  6 S 2.68-2.79
Ni 0.0000 0.1629 0.7500 (multiplicity 4)  4 S 2.26-2.32
S 0.0000 0.0000 0.0000 (multiplicity 4)  4 Np 2.79
S 0.0000 0.2629 0.6150 (multiplicity 8)  1 Ni 2.26
S 0.0000 0.4255 0.2500 (multiplicity 4)  2 Ni 2.32

**Formation energy without anion corrections**: -1099.3 kJ/mol of formula units



| no. | volume (Å³ per cell) |
| --- | --- |
| 1 | 80 |
| 2 | 191 |
| 3 | 92 |
| 4 | 682 |
| 5 | 228 |
| 6 | 277 |
| 7 | 324 |
| 8 | 717 |